Density functional theory data (GGA-PBE) for an optimized crystal structure of K2PuAsS4.

Density of states at the Fermi level ... 9.3 states/eV/f.u.
VASP energy ... -5.7115 eV per atom

Cell lengths 8.2906, 8.2906, 8.2906 Å; angles 120.83, 119.19, 89.99 degrees
With the nearest neighbours (Å) after each atom.
Positions (direct):
K 0.0000 0.0000 0.0000  6 S 3.10-3.11
K 0.5000 0.0000 0.0000  6 S 3.19-3.20
K 0.5000 0.0000 0.5000  6 S 3.10-3.11
K 0.5000 0.5000 0.5000  6 S 3.19-3.20
Pu 0.0000 0.5000 0.5000  6 S 2.78-2.80
Pu 0.5000 0.5000 0.0000  6 S 2.78-2.80
As 0.0000 0.0000 0.5000  6 S 2.68-2.70
As 0.0000 0.5000 0.0000  6 S 2.68-2.70
S 0.1955 0.7370 0.4585  2 As 2.70, 1 Pu 2.80
S 0.2215 0.2630 0.9585  2 As 2.70, 1 Pu 2.80
S 0.2279 0.2566 0.5287  1 As 2.68, 2 Pu 2.78
S 0.2279 0.6991 0.9713  1 As 2.68, 2 Pu 2.78
S 0.7721 0.3009 0.0287  1 As 2.68, 2 Pu 2.78
S 0.7721 0.7434 0.4713  1 As 2.68, 2 Pu 2.78
S 0.7785 0.7370 0.0415  2 As 2.70, 1 Pu 2.80
S 0.8045 0.2630 0.5415  2 As 2.70, 1 Pu 2.80